No. 1
Density functional theory data (PBE-GGA) for SmNpRu2 after structural relaxation.

Cell: 3.3287 3.3287 7.2356 Å, 90.00 90.00 90.00°
Atoms (fractional coordinates):
Sm 0.0000 0.0000 0.0000
Np 0.0000 0.0000 0.5000
Ru 0.5000 0.5000 0.2889
Ru 0.5000 0.5000 0.7111

Calculated values
* formation energy from the elements: -0.1527 eV/atom
* density: 12.21 g/cm³

---

No. 2
Density functional theory data (PBE-GGA) for Mg3Mn after structural relaxation.

Cell: 5.2619 5.2619 5.2752 Å, 100.17 100.17 33.84°
Atoms (fractional coordinates):
Mg 0.0000 0.0000 0.0000
Mg 0.2415 0.2415 0.7382
Mg 0.7585 0.7585 0.2618
Mn 0.5000 0.5000 0.5000

Calculated values
* formation energy from the elements: 0.2024 eV/atom
* density: 2.66 g/cm³

---

No. 3
Density functional theory data (PBE-GGA) for Er2Ga2Pt after structural relaxation.

Cell: 5.6904 5.6904 10.4500 Å, 114.46 114.46 44.23°
Atoms (fractional coordinates):
Er 0.0064 0.0064 0.3275
Er 0.1879 0.1879 0.1185
Er 0.8121 0.8121 0.8815
Er 0.9936 0.9936 0.6725
Ga 0.3565 0.3565 0.4490
Ga 0.4720 0.4720 0.1101
Ga 0.5280 0.5280 0.8899
Ga 0.6435 0.6435 0.5510
Pt 0.2760 0.2760 0.6657
Pt 0.7240 0.7240 0.3343

Calculated values
* formation energy from the elements: -0.9113 eV/atom
* density: 10.52 g/cm³

---

No. 4
Density functional theory data (PBE-GGA) for Pu5Cd3Pb3 after structural relaxation.

Cell: 10.7254 10.7254 3.2205 Å, 90.00 90.00 120.00°
Atoms (fractional coordinates):
Pu 0.0000 0.3458 0.0000
Pu 0.3333 0.6667 0.0000
Pu 0.3458 0.0000 0.0000
Pu 0.6542 0.6542 0.0000
Pu 0.6667 0.3333 0.0000
Cd 0.0000 0.8470 0.0000
Cd 0.1530 0.1530 0.0000
Cd 0.8470 0.0000 0.0000
Pb 0.0000 0.6069 0.5000
Pb 0.3931 0.3931 0.5000
Pb 0.6069 0.0000 0.5000

Calculated values
* formation energy from the elements: 0.2418 eV/atom
* density: 11.28 g/cm³

---

Magnetization list, top to bottom, in μB/cell: 2.5; 3.6; 0.0; 32.5
Electronic total energy list, top to bottom, in eV/cell: -36.82; -13.14; -51.55; -82.87